CaTbPmPr: relaxed, PBE-GGA.

```
4
Lattice="3.6740 0.0000 0.0000 0.0000 3.6740 0.0000 0.0000 0.0000 10.5714" Properties=species:S:1:pos:R:3 pbc="T T T"
Ca 0.0000 0.0000 0.0000
Tb 0.0000 0.0000 5.3413
Pm 1.8370 1.8370 7.7856
Pr 1.8370 1.8370 2.8349
```

Computed properties:
Offset from the most stable computed form in meV/atom: 0
Energy in eV per atom: -3.998
Space group: P4mm (99)
E_form in meV/atom: 43
M_tot in μB per formula unit: 0.00
Density of states at the Fermi level in states/eV per cell: 5.75